1.
Here is crystalline BeIrCl at its relaxed geometry from Alexandria via LeMat-Bulk. Energies are from PBE.

For the calculated volume, the calculation gives 90.7 Å³/cell. The energy relative to the lowest polymorph listed for this composition comes out at 1478 meV per atom. The calculation puts the total energy at -22.7 eV/cell. For the uncorrected formation energy, the calculation gives 1.04 eV/atom. The total moment comes out at 0.0 μB/cell.

a b c (Å): 4.0107 4.0107 6.5076
angles (deg): 90.00 90.00 120.00
Space group P6_3/mmc (No. 194)
Inequivalent atoms, fractional coordinates:
Be: 0.0000 0.0000 0.0000
Ir: 0.3333 0.6667 0.2500
Cl: 0.3333 0.6667 0.7500

2.
Here is crystalline BeIr2Cl at its relaxed geometry from Alexandria via LeMat-Bulk. Energies are from PBE.

For the calculated volume, the calculation gives 56.2 Å³/cell. The energy relative to the lowest polymorph listed for this composition comes out at 356 meV per atom. The calculation puts the total energy at -21.3 eV/cell. For the uncorrected formation energy, the calculation gives 0.51 eV/atom. The total moment comes out at 0.0 μB/cell.

a b c (Å): 2.7685 4.1188 4.9273
angles (deg): 90.00 90.00 90.00
Space group Pmmm (No. 47)
Inequivalent atoms, fractional coordinates:
Be: 0.0000 0.0000 0.0000
Ir: 0.0000 0.5000 0.5000
Ir: 0.5000 0.5000 0.0000
Cl: 0.5000 0.0000 0.5000

3.
Here is crystalline BeIrCl2 at its relaxed geometry from Alexandria via LeMat-Bulk. Energies are from PBE.

For the calculated volume, the calculation gives 179.3 Å³/cell. The energy relative to the lowest polymorph listed for this composition comes out at 379 meV per atom. The calculation puts the total energy at -31.0 eV/cell. For the uncorrected formation energy, the calculation gives 0.20 eV/atom. The total moment comes out at 3.1 μB/cell.

a b c (Å): 2.9046 5.3059 11.6337
angles (deg): 90.00 90.00 90.00
Space group Cmmm (No. 65)
Inequivalent atoms, fractional coordinates:
Be: 0.0000 0.0000 0.0000
Ir: 0.0000 0.0000 0.5000
Cl: 0.0000 0.5000 0.1254